# 1
Here is Cs2AcCd after structural relaxation from Alexandria via LeMat-Bulk. Energies are from PBE.

Output
Mass density: 4.685 g/cm³
Calculated total energy: -1.35 eV/atom

POSCAR file:
```
Cs2AcCd
1.0
2.073 1.197 14.415
-2.073 1.197 14.415
0.000 -2.393 14.415
Cs Ac Cd
2 1 1
Direct
0.095 0.095 0.095 Cs
0.905 0.905 0.905 Cs
0.000 0.000 0.000 Ac
0.500 0.500 0.500 Cd
```

---

# 2
Here is CsAc2Cd after structural relaxation from Alexandria via LeMat-Bulk. Energies are from PBE.

Output
Mass density: 6.074 g/cm³
Calculated total energy: -2.34 eV/atom

POSCAR file:
```
CsAc2Cd
1.0
2.037 1.176 13.303
-2.037 1.176 13.303
0.000 -2.352 13.303
Cs Ac Cd
1 2 1
Direct
0.000 0.000 0.000 Cs
0.104 0.104 0.104 Ac
0.896 0.896 0.896 Ac
0.500 0.500 0.500 Cd
```

---

# 3
Here is CsAcCd after structural relaxation from Alexandria via LeMat-Bulk. Energies are from PBE.

Output
Mass density: 5.480 g/cm³
Calculated total energy: -1.92 eV/atom

POSCAR file:
```
CsAcCd
1.0
7.275 -2.112 0.000
7.275 2.112 0.000
-2.695 0.000 9.316
Cs Ac Cd
2 2 2
Direct
0.144 0.144 0.084 Cs
0.856 0.856 0.916 Cs
0.134 0.134 0.526 Ac
0.866 0.866 0.474 Ac
0.478 0.478 0.288 Cd
0.522 0.522 0.712 Cd
```

---

# 4
Here is CsAcCd2 after structural relaxation from Alexandria via LeMat-Bulk. Energies are from PBE.

Output
Mass density: 5.912 g/cm³
Excess energy over the best structure of this formula in the dataset: 0 meV/atom

POSCAR file:
```
CsAcCd2
1.0
4.240 0.000 0.000
0.000 4.240 0.000
0.000 0.000 9.136
Cs Ac Cd
1 1 2
Direct
0.000 0.000 0.000 Cs
0.000 0.000 0.500 Ac
0.500 0.500 0.307 Cd
0.500 0.500 0.693 Cd
```

---

# 5
Here is CsAc2CdO4 after structural relaxation from Alexandria via LeMat-Bulk. Energies are from PBE.

Output
Mass density: 6.964 g/cm³
Calculated total energy: -5.93 eV/atom

POSCAR file:
```
CsAc2CdO4
1.0
1.969 -6.752 0.000
1.969 6.752 0.000
0.000 0.000 13.691
Cs Ac Cd O
2 4 2 8
Direct
0.062 0.938 0.750 Cs
0.938 0.062 0.250 Cs
0.366 0.634 0.553 Ac
0.366 0.634 0.947 Ac
0.634 0.366 0.053 Ac
0.634 0.366 0.447 Ac
0.209 0.791 0.250 Cd
0.791 0.209 0.750 Cd
0.000 0.000 0.000 O
0.000 0.000 0.500 O
0.240 0.760 0.078 O
0.240 0.760 0.422 O
0.394 0.606 0.750 O
0.606 0.394 0.250 O
0.760 0.240 0.578 O
0.760 0.240 0.922 O
```

---

# 6
Here is CsAcCdO3 after structural relaxation from Alexandria via LeMat-Bulk. Energies are from PBE.

Output
Mass density: 5.953 g/cm³
Calculated total energy: -5.44 eV/atom

POSCAR file:
```
CsAcCdO3
1.0
7.493 0.000 0.000
0.000 3.970 0.000
-3.005 0.000 9.759
Cs Ac Cd O
2 2 2 6
Direct
0.179 0.250 0.209 Cs
0.821 0.750 0.791 Cs
0.354 0.250 0.846 Ac
0.646 0.750 0.154 Ac
0.166 0.750 0.557 Cd
0.834 0.250 0.443 Cd
0.037 0.250 0.642 O
0.325 0.750 0.996 O
0.421 0.750 0.715 O
0.579 0.250 0.285 O
0.675 0.250 0.004 O
0.963 0.750 0.358 O
```

---

# 7
Here is Cs2AcCd2O4 after structural relaxation from Alexandria via LeMat-Bulk. Energies are from PBE.

Output
Mass density: 5.930 g/cm³
Calculated total energy: -4.60 eV/atom

POSCAR file:
```
Cs2AcCd2O4
1.0
7.994 -1.905 0.000
7.994 1.905 0.000
-1.413 0.000 7.188
Cs Ac Cd O
2 1 2 4
Direct
0.130 0.130 0.067 Cs
0.870 0.870 0.933 Cs
0.000 0.000 0.500 Ac
0.317 0.317 0.459 Cd
0.683 0.683 0.541 Cd
0.156 0.156 0.687 O
0.444 0.444 0.670 O
0.556 0.556 0.330 O
0.844 0.844 0.313 O
```

---

# 8
Here is CsAcCdPb after structural relaxation from Alexandria via LeMat-Bulk. Energies are from PBE.

Output
Mass density: 7.179 g/cm³
Calculated total energy: -2.49 eV/atom

POSCAR file:
```
CsAcCdPb
1.0
0.000 4.283 4.283
4.283 0.000 4.283
4.283 4.283 0.000
Cs Ac Cd Pb
1 1 1 1
Direct
0.000 0.000 0.000 Cs
0.500 0.500 0.500 Ac
0.750 0.750 0.750 Cd
0.250 0.250 0.250 Pb
```

---

# 9
Here is Cs3Ac2CdS6 after structural relaxation from Alexandria via LeMat-Bulk. Energies are from PBE.

Output
Mass density: 4.795 g/cm³
Calculated total energy: -4.40 eV/atom

POSCAR file:
```
Cs3Ac2CdS6
1.0
3.782 -6.523 0.000
3.782 6.523 0.000
-2.538 0.000 8.125
Cs Ac Cd S
3 2 1 6
Direct
0.000 0.000 0.000 Cs
0.334 0.666 0.000 Cs
0.666 0.334 0.000 Cs
0.166 0.834 0.500 Ac
0.834 0.166 0.500 Ac
0.500 0.500 0.500 Cd
0.119 0.437 0.310 S
0.243 0.243 0.694 S
0.437 0.119 0.310 S
0.563 0.881 0.690 S
0.757 0.757 0.306 S
0.881 0.563 0.690 S
```

---

# 10
Here is CsAc2CdSe4 after structural relaxation from Alexandria via LeMat-Bulk. Energies are from PBE.

Output
Mass density: 5.988 g/cm³
Calculated total energy: -4.49 eV/atom

POSCAR file:
```
CsAc2CdSe4
1.0
2.321 -7.734 0.000
2.321 7.734 0.000
0.000 0.000 15.686
Cs Ac Cd Se
2 4 2 8
Direct
0.115 0.885 0.750 Cs
0.885 0.115 0.250 Cs
0.373 0.627 0.555 Ac
0.373 0.627 0.945 Ac
0.627 0.373 0.055 Ac
0.627 0.373 0.445 Ac
0.158 0.842 0.250 Cd
0.842 0.158 0.750 Cd
0.000 0.000 0.000 Se
0.000 0.000 0.500 Se
0.260 0.740 0.108 Se
0.260 0.740 0.392 Se
0.431 0.569 0.750 Se
0.569 0.431 0.250 Se
0.740 0.260 0.608 Se
0.740 0.260 0.892 Se
```

---

# 11
Here is Cs2AcCd2Se4 after structural relaxation from Alexandria via LeMat-Bulk. Energies are from PBE.

Output
Mass density: 5.330 g/cm³
Calculated total energy: -3.54 eV/atom

POSCAR file:
```
Cs2AcCd2Se4
1.0
8.704 -2.243 0.000
8.704 2.243 0.000
-3.333 0.000 8.247
Cs Ac Cd Se
2 1 2 4
Direct
0.129 0.129 0.059 Cs
0.871 0.871 0.941 Cs
0.000 0.000 0.500 Ac
0.312 0.312 0.495 Cd
0.688 0.688 0.505 Cd
0.193 0.193 0.700 Se
0.470 0.470 0.719 Se
0.530 0.530 0.281 Se
0.807 0.807 0.300 Se
```

---

# 12
Here is CsAcCdSe3 after structural relaxation from Alexandria via LeMat-Bulk. Energies are from PBE.

Output
Mass density: 5.032 g/cm³
Calculated total energy: -4.12 eV/atom

POSCAR file:
```
CsAcCdSe3
1.0
9.965 0.000 0.000
0.000 4.572 0.000
-3.056 0.000 10.273
Cs Ac Cd Se
2 2 2 6
Direct
0.202 0.250 0.231 Cs
0.798 0.750 0.769 Cs
0.332 0.750 0.854 Ac
0.668 0.250 0.146 Ac
0.083 0.250 0.609 Cd
0.917 0.750 0.391 Cd
0.118 0.250 0.861 Se
0.195 0.750 0.534 Se
0.459 0.750 0.151 Se
0.541 0.250 0.849 Se
0.805 0.250 0.466 Se
0.882 0.750 0.139 Se
```

---

Q: Which value of mass density does entry 9 give?
A: 4.795 g/cm³